(1)
DFT (PBE) results for a geometry-optimized MnCo2N structure.

Summary:
* energy relative to the elements, uncorrected: 0.422 eV/atom

a b c (Å): 2.801 2.801 7.026
angles (deg): 78.50 78.50 60.00
Fractional positions:
Mn 0.000 0.000 0.000
Co 0.119 0.119 0.644
Co 0.881 0.881 0.356
N 0.500 0.500 0.500

---

(2)
DFT (PBE) results for a geometry-optimized Sm2DyMg2 structure.

Summary:
* calculated formation energy: 0.051 eV/atom

a b c (Å): 5.245 5.999 5.999
angles (deg): 71.33 64.08 64.08
Fractional positions:
Sm 0.196 0.304 0.304
Sm 0.804 0.696 0.696
Dy 0.000 0.000 0.000
Mg 0.500 0.292 0.708
Mg 0.500 0.708 0.292

---

In order of appearance, V = 11.62; 30.15 A^3/atom.
In order of appearance, Fermi-level density of states = 2.41; 7.26 states/eV/f.u..